1.
Ce4Tl3Sn: relaxed, GGA-PBE.

The structure in extended XYZ format:
```
8
Lattice="4.645 0.000 0.000 0.000 7.255 -0.440 -2.323 -2.319 7.204" Properties=species:S:1:pos:R:3 pbc="T T T"
Ce 0.000 2.650 4.272
Ce 2.323 2.287 2.492
Ce 2.323 4.886 1.625
Ce 0.000 0.051 5.139
Tl 0.000 3.628 -0.220
Tl 0.000 -0.087 2.024
Tl 2.323 5.024 4.740
Sn 2.323 0.000 0.000
```

## Properties
- SG = C2/m
- relative energy among the computed polymorphs (eV/f.u.) = 2.35
- ΔE_f (eV/f.u.) = -0.318
- total magnetic moment (μB per cell) = 3.10

2.
CeTl2Sn: relaxed, GGA-PBE.

The structure in extended XYZ format:
```
4
Lattice="5.478 0.000 0.000 2.739 4.744 0.000 2.739 1.581 4.468" Properties=species:S:1:pos:R:3 pbc="T T T"
Tl 8.216 4.744 3.351
Tl 2.739 1.581 1.118
Sn 0.000 0.000 0.000
Ce 5.478 3.162 2.234
```

## Properties
- SG = Fm-3m
- relative energy among the computed polymorphs (eV/f.u.) = 0.94
- ΔE_f (eV/f.u.) = -0.449
- total magnetic moment (μB per cell) = 1.33

3.
Ce2TlSn4: relaxed, GGA-PBE.

The structure in extended XYZ format:
```
7
Lattice="-1.859 3.378 -2.528 4.255 -1.333 -4.911 -4.347 -4.308 -2.559" Properties=species:S:1:pos:R:3 pbc="T T T"
Ce 2.105 -2.076 -4.323
Ce -2.197 -3.564 -3.147
Tl -0.976 -1.131 -4.999
Sn -0.070 -4.299 -5.693
Sn -0.022 -1.342 -1.777
Sn -3.103 -0.465 -2.543
Sn 1.198 1.022 -3.719
```

## Properties
- SG = Cmmm
- ΔE_f (eV/f.u.) = -2.958
- total magnetic moment (μB per cell) = 1.35

4.
CeYTlSn: relaxed, GGA-PBE.

The structure in extended XYZ format:
```
4
Lattice="5.424 0.000 0.000 2.712 4.697 0.000 2.712 1.566 4.428" Properties=species:S:1:pos:R:3 pbc="T T T"
Y 8.135 4.697 3.321
Tl 5.424 3.131 2.214
Sn 0.000 0.000 0.000
Ce 2.712 1.566 1.107
```

## Properties
- SG = F-43m
- relative energy among the computed polymorphs (eV/f.u.) = 0.03
- ΔE_f (eV/f.u.) = -1.763
- total magnetic moment (μB per cell) = 1.15

5.
CeYTlSn: relaxed, GGA-PBE.

The structure in extended XYZ format:
```
4
Lattice="-3.821 -0.462 -1.045 -0.142 -3.426 2.036 -2.015 3.534 5.806" Properties=species:S:1:pos:R:3 pbc="T T T"
Ce -2.217 -1.532 1.174
Y -3.184 0.165 3.961
Tl -1.700 2.982 4.899
Sn -0.747 1.310 2.152
```

## Properties
- SG = P4mm
- relative energy among the computed polymorphs (eV/f.u.) = 0.00
- ΔE_f (eV/f.u.) = -1.794
- total magnetic moment (μB per cell) = 1.50

6.
Ce4Tm3Sn4: relaxed, GGA-PBE.

The structure in extended XYZ format:
```
11
Lattice="3.886 0.000 0.000 0.000 10.499 0.000 -1.943 -5.250 7.874" Properties=species:S:1:pos:R:3 pbc="T T T"
Ce 0.000 -2.420 4.851
Ce 1.943 2.829 3.023
Ce 1.943 7.670 3.023
Ce 0.000 2.421 4.851
Tm 0.000 0.000 1.802
Tm 1.943 5.250 6.072
Tm 0.000 5.250 0.000
Sn 0.000 5.250 3.460
Sn 1.943 0.000 4.414
Sn 1.943 8.396 0.000
Sn 1.943 2.103 0.000
```

## Properties
- SG = Immm
- ΔE_f (eV/f.u.) = -3.863
- total magnetic moment (μB per cell) = 0.00

7.
CeTm5Sn6: relaxed, GGA-PBE.

The structure in extended XYZ format:
```
12
Lattice="-4.442 2.529 6.507 -5.791 -1.764 0.755 -0.520 -6.974 4.367" Properties=species:S:1:pos:R:3 pbc="T T T"
Ce 0.000 0.000 0.000
Tm -3.477 -3.823 6.385
Tm -2.064 -3.013 1.773
Tm -5.117 0.382 3.631
Tm -4.246 -5.725 3.349
Tm -7.277 -2.386 5.244
Sn -4.039 -0.715 6.331
Sn -4.573 -2.677 3.653
Sn -2.682 0.072 1.707
Sn -7.551 0.693 5.554
Sn -6.180 -3.532 7.976
Sn -6.714 -5.494 5.298
```

## Properties
- SG = C2/m
- ΔE_f (eV/f.u.) = -6.747
- total magnetic moment (μB per cell) = 0.83

8.
Ce3Tm2Sn3: relaxed, GGA-PBE.

The structure in extended XYZ format:
```
16
Lattice="6.532 0.000 0.000 0.000 9.103 0.000 0.000 -4.552 7.884" Properties=species:S:1:pos:R:3 pbc="T T T"
Ce 4.899 2.173 0.000
Ce 4.899 3.465 6.002
Ce 4.899 -1.087 1.882
Ce 1.633 6.930 0.000
Ce 1.633 1.087 1.882
Ce 1.633 -3.465 6.002
Tm 0.000 0.000 5.256
Tm 3.266 4.552 2.628
Tm 0.000 4.552 2.628
Tm 3.266 0.000 5.256
Sn 4.899 5.457 0.000
Sn 4.899 1.823 3.157
Sn 4.899 -2.729 4.726
Sn 1.633 3.646 0.000
Sn 1.633 2.729 4.726
Sn 1.633 -1.823 3.157
```

## Properties
- SG = P6_3/mcm
- ΔE_f (eV/f.u.) = -4.383
- total magnetic moment (μB per cell) = 7.23

9.
Ce8TmSn6: relaxed, GGA-PBE.

The structure in extended XYZ format:
```
15
Lattice="9.342 0.000 0.000 4.671 8.091 0.000 4.671 2.697 6.485" Properties=species:S:1:pos:R:3 pbc="T T T"
Ce 7.724 2.775 1.894
Ce 10.801 2.683 4.591
Ce 6.265 5.486 4.591
Ce 9.342 5.394 0.026
Ce 9.342 5.394 6.459
Ce 12.420 5.302 1.894
Ce 7.884 8.105 1.894
Ce 10.961 8.013 4.591
Tm 0.000 0.000 0.000
Sn 7.680 2.703 5.141
Sn 10.841 2.609 1.345
Sn 6.181 5.488 1.345
Sn 12.504 5.300 5.141
Sn 7.843 8.179 5.141
Sn 11.005 8.084 1.345
```

## Properties
- SG = R-3
- ΔE_f (eV/f.u.) = -5.604
- total magnetic moment (μB per cell) = 9.42

10.
Ce5TmSn2: relaxed, GGA-PBE.

The structure in extended XYZ format:
```
16
Lattice="-3.078 3.350 -0.826 -4.186 -2.691 4.684 5.822 7.725 9.640" Properties=species:S:1:pos:R:3 pbc="T T T"
Ce 0.000 0.000 0.000
Ce 0.818 2.517 7.162
Ce 2.420 4.549 9.436
Ce -0.783 0.485 4.888
Ce 1.329 1.857 2.579
Ce 0.307 3.177 11.746
Ce 2.577 7.771 8.976
Ce -4.019 0.614 4.523
Ce -0.572 3.755 4.422
Ce -0.869 4.629 9.076
Tm 2.911 3.862 4.820
Tm -2.093 -1.345 2.342
Sn 1.117 5.847 6.618
Sn -2.558 2.537 6.881
Sn -1.989 1.860 2.015
Sn 0.548 6.524 11.483
```

## Properties
- SG = Pbam
- ΔE_f (eV/f.u.) = -3.247
- total magnetic moment (μB per cell) = 7.67

11.
CeTm5Sn3: relaxed, GGA-PBE.

The structure in extended XYZ format:
```
18
Lattice="7.394 0.000 0.000 0.000 7.394 0.000 -3.697 -3.697 9.491" Properties=species:S:1:pos:R:3 pbc="T T T"
Ce 3.697 0.000 4.745
Ce 0.000 3.697 4.745
Tm -2.262 1.435 7.091
Tm 2.262 -1.435 7.091
Tm -1.435 -2.262 7.091
Tm 1.435 2.262 7.091
Tm 5.959 2.262 2.399
Tm 1.435 5.132 2.399
Tm 5.132 5.959 2.399
Tm 2.262 1.435 2.399
Tm 3.697 3.697 0.000
Tm 0.000 0.000 0.000
Sn 4.653 0.956 0.000
Sn 2.741 6.438 0.000
Sn 6.438 4.653 0.000
Sn 0.956 2.741 0.000
Sn 0.000 0.000 4.745
Sn 3.697 3.697 4.745
```

## Properties
- SG = I4/mcm
- ΔE_f (eV/f.u.) = -1.740
- total magnetic moment (μB per cell) = 2.95

12.
Ce2TmSn9: relaxed, GGA-PBE.

The structure in extended XYZ format:
```
12
Lattice="-1.415 1.283 4.317 -2.440 -4.022 0.396 11.271 -6.289 5.562" Properties=species:S:1:pos:R:3 pbc="T T T"
Ce 3.767 -2.102 1.859
Ce 7.504 -4.187 3.703
Tm 0.000 0.000 0.000
Sn -1.927 -1.370 2.357
Sn 1.814 -3.457 4.203
Sn 5.602 -5.571 6.072
Sn 1.142 -0.391 3.071
Sn 4.928 -2.503 4.940
Sn 8.714 -4.616 6.808
Sn 0.630 -3.043 1.111
Sn 4.416 -5.156 2.979
Sn 8.201 -7.268 4.847
```

## Properties
- SG = P4/mmm
- ΔE_f (eV/f.u.) = -5.741
- total magnetic moment (μB per cell) = 0.92

Respective theoretical density values: 9.01 9.55 7.85 8.13 8.13 7.97 8.52 7.89 6.78 8.52 8.58 8.05 Mg/m³.